Computed, not measured: a geometry-optimized NbMo2PbO8 structure at the GGA+U level of DFT. Values from VASP.

Calculated values
Electronic total energy, eV/atom: -7.378
Density of states at the Fermi level, states/eV/cell: 2.99
Calculated volume, Å³/cell: 158.65
Space group: No. 65

Quantum ESPRESSO input file:
```
&SYSTEM
  ibrav = 0, nat = 12, ntyp = 4
/
ATOMIC_SPECIES
Nb 92.91 Nb.upf
Mo 95.94 Mo.upf
Pb 207.20 Pb.upf
O 16.00 O.upf
CELL_PARAMETERS angstrom
3.4295 -3.4655 0.0000
3.4295 3.4655 0.0000
0.0000 0.0000 6.6746
ATOMIC_POSITIONS crystal
Nb 0.0000 0.0000 0.0000
Mo 0.5000 0.5000 0.2447
Mo 0.5000 0.5000 0.7553
Pb 0.0000 0.0000 0.5000
O 0.2040 0.2040 0.2123
O 0.2040 0.2040 0.7877
O 0.3051 0.6949 0.0000
O 0.3287 0.6713 0.5000
O 0.6713 0.3287 0.5000
O 0.6949 0.3051 0.0000
O 0.7960 0.7960 0.2123
O 0.7960 0.7960 0.7877
```